[1]
# AcCd2BiO6

Crystalline AcCd2BiO6 at its relaxed geometry (PBE-GGA, the Alexandria database).

Geometry as POSCAR:
```
AcCd2BiO6
1.0
2.9581 1.7078 5.2366
-2.9581 1.7078 5.2366
0.0000 -3.4157 5.2366
Ac Cd Bi O
1 2 1 6
Direct
0.0000 0.0000 0.0000 Ac
0.2733 0.2733 0.2733 Cd
0.7815 0.7815 0.7815 Cd
0.4868 0.4868 0.4868 Bi
0.1113 0.6649 0.4127 O
0.2217 0.5825 0.8578 O
0.4127 0.1113 0.6649 O
0.5825 0.8578 0.2217 O
0.6649 0.4127 0.1113 O
0.8578 0.2217 0.5825 O
```

## Properties
ΔE_f (raw) in meV per atom: -1576.4

[2]
# Ac2CdBiPd6

Crystalline Ac2CdBiPd6 at its relaxed geometry (PBE-GGA, the Alexandria database).

Geometry as POSCAR:
```
Ac2CdBiPd6
1.0
6.3257 -2.8547 0.0000
6.3257 2.8547 0.0000
-5.8161 0.0000 6.3251
Ac Cd Bi Pd
2 1 1 6
Direct
0.0186 0.0186 0.2733 Ac
0.9814 0.9814 0.7267 Ac
0.5000 0.5000 0.5000 Cd
0.5000 0.5000 0.0000 Bi
0.0043 0.5011 0.2816 Pd
0.3108 0.3108 0.0652 Pd
0.4989 0.9957 0.7184 Pd
0.5011 0.0043 0.2816 Pd
0.6892 0.6892 0.9348 Pd
0.9957 0.4989 0.7184 Pd
```

## Properties
N(E_F) in states/eV per cell: 3.90
E_form in eV per atom: -0.567